# Sn2HgGe2 (PBE-GGA, relaxed)
data_Sn2HgGe2
_chemical_formula_sum 'Sn4 Hg2 Ge4'
_space_group_name_H-M_alt 'P 4/m b m'
_space_group_IT_number 127
_space_group_name_Hall '-P 4 2ab'
_cell_length_a 8.5882
_cell_length_b 8.5882
_cell_length_c 3.3621
_cell_angle_alpha 90.00
_cell_angle_beta 90.00
_cell_angle_gamma 90.00
loop_
_atom_site_label
_atom_site_type_symbol
_atom_site_fract_x
_atom_site_fract_y
_atom_site_fract_z
Sn1 Sn 0.1496 0.3504 0.0000
Hg1 Hg 0.0000 0.0000 0.5000
Ge1 Ge 0.1434 0.6434 0.5000
# Energy above the lowest structure with this stoichiometry ... 50 meV per atom
# Spin magnetization ... 0.00 μB/f.u.
# Formation enthalpy at 0 K ... 187 meV per atom

# Sn3HgGe (PBE-GGA, relaxed)
data_Sn3HgGe
_chemical_formula_sum 'Sn3 Hg1 Ge1'
_space_group_name_H-M_alt 'P m -3 m'
_space_group_IT_number 221
_space_group_name_Hall '-P 4 2 3'
_cell_length_a 5.5258
_cell_length_b 5.5258
_cell_length_c 5.5258
_cell_angle_alpha 90.00
_cell_angle_beta 90.00
_cell_angle_gamma 90.00
loop_
_atom_site_label
_atom_site_type_symbol
_atom_site_fract_x
_atom_site_fract_y
_atom_site_fract_z
Sn1 Sn 0.0000 0.0000 0.5000
Hg1 Hg 0.0000 0.0000 0.0000
Ge1 Ge 0.5000 0.5000 0.5000
# Energy above the lowest structure with this stoichiometry ... 282 meV per atom
# Spin magnetization ... 0.00 μB/f.u.
# Formation enthalpy at 0 K ... 749 meV per atom

# Sn2HgGe2 (PBE-GGA, relaxed)
data_Sn2HgGe2
_chemical_formula_sum 'Sn4 Hg2 Ge4'
_space_group_name_H-M_alt 'I 4/m m m'
_space_group_IT_number 139
_space_group_name_Hall '-I 4 2'
_cell_length_a 4.0441
_cell_length_b 4.0441
_cell_length_c 15.7170
_cell_angle_alpha 90.00
_cell_angle_beta 90.00
_cell_angle_gamma 90.00
loop_
_atom_site_label
_atom_site_type_symbol
_atom_site_fract_x
_atom_site_fract_y
_atom_site_fract_z
Sn1 Sn 0.0000 0.0000 0.1120
Hg1 Hg 0.0000 0.0000 0.5000
Ge1 Ge 0.0000 0.5000 0.2500
# Energy above the lowest structure with this stoichiometry ... 11 meV per atom
# Spin magnetization ... 0.00 μB/f.u.
# Formation enthalpy at 0 K ... 148 meV per atom

# Sn2Hg2Ge (PBE-GGA, relaxed)
data_Sn2Hg2Ge
_chemical_formula_sum 'Sn4 Hg4 Ge2'
_space_group_name_H-M_alt 'P 4/m b m'
_space_group_IT_number 127
_space_group_name_Hall '-P 4 2ab'
_cell_length_a 7.5322
_cell_length_b 7.5322
_cell_length_c 4.5952
_cell_angle_alpha 90.00
_cell_angle_beta 90.00
_cell_angle_gamma 90.00
loop_
_atom_site_label
_atom_site_type_symbol
_atom_site_fract_x
_atom_site_fract_y
_atom_site_fract_z
Sn1 Sn 0.1696 0.3304 0.0000
Hg1 Hg 0.1408 0.6408 0.5000
Ge1 Ge 0.0000 0.0000 0.5000
# Energy above the lowest structure with this stoichiometry ... 45 meV per atom
# Spin magnetization ... 0.00 μB/f.u.
# Formation enthalpy at 0 K ... 223 meV per atom

Repeat the third record exactly.
# Sn2HgGe2 (PBE-GGA, relaxed)
data_Sn2HgGe2
_chemical_formula_sum 'Sn4 Hg2 Ge4'
_space_group_name_H-M_alt 'I 4/m m m'
_space_group_IT_number 139
_space_group_name_Hall '-I 4 2'
_cell_length_a 4.0441
_cell_length_b 4.0441
_cell_length_c 15.7170
_cell_angle_alpha 90.00
_cell_angle_beta 90.00
_cell_angle_gamma 90.00
loop_
_atom_site_label
_atom_site_type_symbol
_atom_site_fract_x
_atom_site_fract_y
_atom_site_fract_z
Sn1 Sn 0.0000 0.0000 0.1120
Hg1 Hg 0.0000 0.0000 0.5000
Ge1 Ge 0.0000 0.5000 0.2500
# Energy above the lowest structure with this stoichiometry ... 11 meV per atom
# Spin magnetization ... 0.00 μB/f.u.
# Formation enthalpy at 0 K ... 148 meV per atom